## KSbW2 (GGA-PBE)

Data for crystalline KSbW2 at its relaxed geometry.

```
KSbW2
1.0
2.884 0.000 0.000
0.000 2.884 0.000
0.000 0.000 10.475
W K Sb
2 1 1
Cartesian
0.000 0.000 10.051
0.000 0.000 5.662
1.442 1.442 2.619
1.442 1.442 7.856
```

Summary:
* volume: 87 Å³/f.u.
* E_form (uncorrected): 1445 meV per atom
* energy: -6.3361 eV/atom
* crystal system: tetragonal